RbPbC2: optimized geometry, PBE.

Lattice parameters (Å, degrees): 7.957 7.957 7.957 140.55 140.55 57.01
Positions (direct):
1 Rb 0.000 0.000 0.000
2 Rb 0.750 0.250 0.500
3 Pb 0.250 0.750 0.500
4 Pb 0.500 0.500 0.000
5 C 0.264 0.625 0.139
6 C 0.375 0.514 0.639
7 C 0.486 0.125 0.861
8 C 0.875 0.736 0.361

Computed properties:
As for the space group: I-42d. The formation energy from the elements is 2.086 eV per atom.

=====

ScTi3Sb2: optimized geometry, PBE.

Lattice parameters (Å, degrees): 8.560 8.560 8.368 113.22 113.22 25.82
Positions (direct):
1 Sc 0.111 0.111 0.118
2 Sc 0.889 0.889 0.882
3 Ti 0.065 0.065 0.655
4 Ti 0.312 0.312 0.102
5 Ti 0.356 0.356 0.517
6 Ti 0.644 0.644 0.483
7 Ti 0.688 0.688 0.898
8 Ti 0.935 0.935 0.345
9 Sb 0.249 0.249 0.722
10 Sb 0.490 0.490 0.178
11 Sb 0.510 0.510 0.822
12 Sb 0.751 0.751 0.278

Computed properties:
As for the space group: C2/m. The formation energy without anion corrections comes out at -0.42 eV per atom.

=====

PdPtAu3: optimized geometry, PBE.

Lattice parameters (Å, degrees): 5.032 5.556 6.961 90.00 100.72 90.00
Positions (direct):
1 Pd 0.201 0.250 0.155
2 Pd 0.799 0.750 0.845
3 Pt 0.027 0.250 0.492
4 Pt 0.973 0.750 0.508
5 Au 0.214 0.750 0.189
6 Au 0.301 0.503 0.812
7 Au 0.301 0.997 0.812
8 Au 0.699 0.003 0.188
9 Au 0.699 0.497 0.188
10 Au 0.786 0.250 0.811

Computed properties:
The energy relative to the lowest polymorph listed for this composition comes out at 0 meV per atom. As for the space group: P2_1/m. The formation energy from the elements is 0.172 eV per atom.

=====

Cu2AgTeS: optimized geometry, PBE.

Lattice parameters (Å, degrees): 6.160 3.992 7.941 90.00 92.55 90.00
Positions (direct):
1 Cu 0.001 0.250 0.141
2 Cu 0.006 0.750 0.379
3 Cu 0.994 0.250 0.621
4 Cu 0.999 0.750 0.859
5 Ag 0.356 0.750 0.637
6 Ag 0.644 0.250 0.363
7 Te 0.279 0.250 0.900
8 Te 0.721 0.750 0.100
9 S 0.226 0.250 0.382
10 S 0.774 0.750 0.618

Computed properties:
As for the space group: P2_1/m. The formation energy without anion corrections comes out at -0.07 eV per atom.

=====

GdLuTlZn: optimized geometry, PBE.

Lattice parameters (Å, degrees): 5.196 5.196 5.196 60.00 60.00 60.00
Positions (direct):
1 Gd 0.000 0.000 0.000
2 Lu 0.500 0.500 0.500
3 Tl 0.750 0.750 0.750
4 Zn 0.250 0.250 0.250

Computed properties:
As for the space group: F-43m. The formation energy from the elements is -0.321 eV per atom.

=====

DyHo2Ag: optimized geometry, PBE.

Lattice parameters (Å, degrees): 5.409 5.409 3.707 90.00 90.00 90.00
Positions (direct):
1 Dy 0.000 0.000 0.000
2 Ho 0.000 0.500 0.500
3 Ho 0.500 0.000 0.500
4 Ag 0.500 0.500 0.000

Computed properties:
The energy relative to the lowest polymorph listed for this composition comes out at 140 meV per atom. As for the space group: P4/mmm. The formation energy from the elements is 0.007 eV per atom.

=====

Au: optimized geometry, PBE.

Lattice parameters (Å, degrees): 4.720 11.382 4.818 90.00 90.00 90.00
Positions (direct):
1 Au 0.250 0.005 0.166
2 Au 0.250 0.250 0.214
3 Au 0.250 0.495 0.166
4 Au 0.250 0.620 0.657
5 Au 0.250 0.750 0.163
6 Au 0.250 0.880 0.657
7 Au 0.750 0.120 0.343
8 Au 0.750 0.250 0.837
9 Au 0.750 0.380 0.343
10 Au 0.750 0.505 0.834
11 Au 0.750 0.750 0.786
12 Au 0.750 0.995 0.834

Computed properties:
The energy relative to the lowest polymorph listed for this composition comes out at 171 meV per atom. As for the space group: Pmmn. The formation energy from the elements is 0.171 eV per atom.

=====

Rb2Ga2SnBr6: optimized geometry, PBE.

Lattice parameters (Å, degrees): 8.231 8.231 8.753 114.61 114.61 60.41
Positions (direct):
1 Rb 0.221 0.221 0.164
2 Rb 0.779 0.779 0.836
3 Ga 0.442 0.442 0.815
4 Ga 0.558 0.558 0.185
5 Sn 0.000 0.000 0.500
6 Br 0.180 0.685 0.210
7 Br 0.222 0.222 0.555
8 Br 0.315 0.820 0.790
9 Br 0.685 0.180 0.210
10 Br 0.778 0.778 0.445
11 Br 0.820 0.315 0.790

Computed properties:
As for the space group: C2/m. The formation energy without anion corrections comes out at -1.01 eV per atom.

=====

NdHo14Th: optimized geometry, PBE.

Lattice parameters (Å, degrees): 11.458 7.103 7.103 60.20 90.00 90.00
Positions (direct):
1 Nd 0.000 0.000 0.000
2 Ho 0.000 0.000 0.500
3 Ho 0.000 0.500 0.000
4 Ho 0.250 0.665 0.665
5 Ho 0.252 0.170 0.665
6 Ho 0.252 0.665 0.170
7 Ho 0.253 0.167 0.167
8 Ho 0.500 0.333 0.333
9 Ho 0.500 0.333 0.834
10 Ho 0.500 0.833 0.833
11 Ho 0.500 0.834 0.333
12 Ho 0.747 0.167 0.167
13 Ho 0.748 0.170 0.665
14 Ho 0.748 0.665 0.170
15 Ho 0.750 0.665 0.665
16 Th 0.000 0.499 0.499

Computed properties:
As for the space group: Amm2. The formation energy from the elements is 0.016 eV per atom.

=====

PuRhSe: optimized geometry, PBE.

Lattice parameters (Å, degrees): 4.321 4.321 3.732 90.00 90.00 120.00
Positions (direct):
1 Pu 0.000 0.000 0.000
2 Rh 0.333 0.667 0.501
3 Se 0.667 0.333 0.499

Computed properties:
As for the space group: P3m1. The formation energy without anion corrections comes out at -0.86 eV per atom.

=====

La2CeP: optimized geometry, PBE.

Lattice parameters (Å, degrees): 10.624 10.624 10.624 21.07 21.07 21.07
Positions (direct):
1 La 0.111 0.111 0.111
2 La 0.889 0.889 0.889
3 Ce 0.000 0.000 0.000
4 P 0.500 0.500 0.500

Computed properties:
The energy relative to the lowest polymorph listed for this composition comes out at 117 meV per atom. As for the space group: R-3m. The formation energy from the elements is -0.460 eV per atom.

=====

MgAl2Se4: optimized geometry, PBE.

Lattice parameters (Å, degrees): 5.504 5.504 5.988 90.00 90.00 90.00
Positions (direct):
1 Mg 0.000 0.000 0.000
2 Al 0.000 0.500 0.500
3 Al 0.500 0.000 0.500
4 Se 0.268 0.268 0.257
5 Se 0.268 0.732 0.743
6 Se 0.732 0.268 0.743
7 Se 0.732 0.732 0.257

Computed properties:
As for the space group: P-42m. The formation energy without anion corrections comes out at -0.97 eV per atom.